No. 1
First-principles (GGA-PBE) data for an optimized crystal structure of KCa2ZnPt, as listed in Alexandria.

Lattice parameters (Å, degrees): 5.649 5.649 5.091 90.00 90.00 90.00
Positions (direct):
K 0.500 0.500 0.500
Ca 0.500 0.000 0.000
Ca 0.000 0.500 0.000
Zn 0.000 0.000 0.500
Pt 0.000 0.000 0.000

SG: P4/mmm (123)
Energy of formation in eV/atom: -0.343
Calculated volume in Å³/cell: 162

---

No. 2
First-principles (GGA-PBE) data for an optimized crystal structure of K14RbCa, as listed in Alexandria.

Lattice parameters (Å, degrees): 9.226 9.226 15.138 90.00 90.00 118.77
Positions (direct):
K 0.198 0.802 0.000
K 0.047 0.447 0.500
K 0.379 0.621 0.259
K 0.379 0.621 0.741
K 0.875 0.125 0.753
K 0.696 0.799 0.000
K 0.201 0.304 0.000
K 0.553 0.953 0.500
K 0.875 0.125 0.247
K 0.382 0.132 0.255
K 0.382 0.132 0.745
K 0.698 0.302 0.000
K 0.868 0.618 0.745
K 0.868 0.618 0.255
Ca 0.550 0.450 0.500
Rb 0.050 0.950 0.500

SG: Amm2 (38)
Energy of formation in eV/atom: 0.040
Calculated volume in Å³/cell: 1129

---

No. 3
First-principles (GGA-PBE) data for an optimized crystal structure of K4RbCa, as listed in Alexandria.

Lattice parameters (Å, degrees): 8.350 8.350 8.350 60.00 60.00 60.00
Positions (direct):
Rb 0.250 0.250 0.250
Ca 0.000 0.000 0.000
K 0.626 0.626 0.626
K 0.626 0.122 0.626
K 0.626 0.626 0.122
K 0.122 0.626 0.626

SG: F-43m (216)
Energy of formation in eV/atom: 0.151
Calculated volume in Å³/cell: 412

---

No. 4
First-principles (GGA-PBE) data for an optimized crystal structure of KRb4Ca, as listed in Alexandria.

Lattice parameters (Å, degrees): 8.724 8.724 8.724 60.00 60.00 60.00
Positions (direct):
Ca 0.000 0.000 0.000
Rb 0.626 0.626 0.123
Rb 0.626 0.626 0.626
Rb 0.123 0.626 0.626
Rb 0.626 0.123 0.626
K 0.250 0.250 0.250

SG: F-43m (216)
Energy of formation in eV/atom: 0.197
Calculated volume in Å³/cell: 469

---

No. 5
First-principles (GGA-PBE) data for an optimized crystal structure of KRb3Ca, as listed in Alexandria.

Lattice parameters (Å, degrees): 7.651 7.651 7.651 90.00 90.00 90.00
Positions (direct):
Rb 0.500 0.000 0.000
Rb 0.000 0.500 0.000
Rb 0.000 0.000 0.500
K 0.000 0.000 0.000
Ca 0.500 0.500 0.500

SG: Pm-3m (221)
Energy of formation in eV/atom: 0.394
Calculated volume in Å³/cell: 448
Relative energy among the computed polymorphs in eV per atom: 0.060

---

No. 6
First-principles (GGA-PBE) data for an optimized crystal structure of KRb3Ca, as listed in Alexandria.

Lattice parameters (Å, degrees): 7.969 7.969 7.969 90.00 90.00 90.00
Positions (direct):
Rb 0.000 0.500 0.000
Rb 0.000 0.000 0.500
Rb 0.500 0.000 0.000
K 0.500 0.500 0.500
Ca 0.000 0.000 0.000

SG: Pm-3m (221)
Energy of formation in eV/atom: 0.334
Calculated volume in Å³/cell: 506
Relative energy among the computed polymorphs in eV per atom: 0.000